(1)
# BAs2IBr

A geometry-optimized BAs2IBr structure (GGA-PBE, the Alexandria database).

It has space group P4/mmm (No. 123), with a = 4.753 Å, b = 4.753 Å, c = 4.592 Å, α = 90.00°, β = 90.00° and γ = 90.00°. The asymmetric unit holds B at (0.000, 0.000, 0.000), As at (0.000, 0.500, 0.000), I at (0.500, 0.500, 0.500) and Br at (0.000, 0.000, 0.500).

As for the energy above the most stable polymorph in this dataset: 0.0 kJ/mol of formula units. The value obtained for the uncorrected energy is -3.01 eV/atom. The calculation puts the uncorrected formation energy at 4.126 eV/f.u.

---

(2)
# BAsIBr2

A geometry-optimized BAsIBr2 structure (GGA-PBE, the Alexandria database).

It has space group P4/mmm (No. 123), with a = 5.809 Å, b = 5.809 Å, c = 5.652 Å, α = 90.00°, β = 90.00° and γ = 90.00°. The asymmetric unit holds B at (0.000, 0.000, 0.000), As at (0.500, 0.500, 0.000), I at (0.500, 0.500, 0.500) and Br at (0.000, 0.500, 0.500).

As for the energy above the most stable polymorph in this dataset: 392.3 kJ/mol of formula units. The value obtained for the uncorrected energy is -1.73 eV/atom. The calculation puts the uncorrected formation energy at 7.553 eV/f.u.

---

(3)
# InBAsBr2

A geometry-optimized InBAsBr2 structure (GGA-PBE, the Alexandria database).

It has space group P4/mmm (No. 123), with a = 5.394 Å, b = 5.394 Å, c = 4.128 Å, α = 90.00°, β = 90.00° and γ = 90.00°. The asymmetric unit holds In at (0.000, 0.000, 0.000), B at (0.500, 0.500, 0.500), As at (0.500, 0.500, 0.000) and Br at (0.000, 0.500, 0.500).

As for the energy above the most stable polymorph in this dataset: 0.0 kJ/mol of formula units. The value obtained for the uncorrected energy is -3.03 eV/atom. The calculation puts the uncorrected formation energy at 2.247 eV/f.u.

---

(4)
# InBAsBr2

A geometry-optimized InBAsBr2 structure (GGA-PBE, the Alexandria database).

It has space group P4/mmm (No. 123), with a = 5.510 Å, b = 5.510 Å, c = 5.407 Å, α = 90.00°, β = 90.00° and γ = 90.00°. The asymmetric unit holds In at (0.000, 0.000, 0.000), B at (0.500, 0.500, 0.500), As at (0.000, 0.000, 0.500) and Br at (0.000, 0.500, 0.000).

As for the energy above the most stable polymorph in this dataset: 291.9 kJ/mol of formula units. The value obtained for the uncorrected energy is -2.43 eV/atom. The calculation puts the uncorrected formation energy at 5.272 eV/f.u.

---

(5)
# BAs2IrBr

A geometry-optimized BAs2IrBr structure (GGA-PBE, the Alexandria database).

It has space group P4/mmm (No. 123), with a = 4.292 Å, b = 4.292 Å, c = 4.465 Å, α = 90.00°, β = 90.00° and γ = 90.00°. The asymmetric unit holds B at (0.000, 0.000, 0.000), As at (0.000, 0.500, 0.000), Ir at (0.500, 0.500, 0.500) and Br at (0.000, 0.000, 0.500).

As for the energy above the most stable polymorph in this dataset: 0.0 kJ/mol of formula units. The value obtained for the uncorrected energy is -4.15 eV/atom. The calculation puts the uncorrected formation energy at 5.754 eV/f.u.

---

(6)
# BAs2IrBr

A geometry-optimized BAs2IrBr structure (GGA-PBE, the Alexandria database).

It has space group P4/mmm (No. 123), with a = 4.729 Å, b = 4.729 Å, c = 5.530 Å, α = 90.00°, β = 90.00° and γ = 90.00°. The asymmetric unit holds B at (0.000, 0.000, 0.000), As at (0.000, 0.500, 0.500), Ir at (0.500, 0.500, 0.500) and Br at (0.500, 0.500, 0.000).

As for the energy above the most stable polymorph in this dataset: 77.3 kJ/mol of formula units. The value obtained for the uncorrected energy is -3.99 eV/atom. The calculation puts the uncorrected formation energy at 6.555 eV/f.u.

---

(7)
# LaBAs2Br

A geometry-optimized LaBAs2Br structure (GGA-PBE, the Alexandria database).

It has space group P4/mmm (No. 123), with a = 5.804 Å, b = 5.804 Å, c = 5.775 Å, α = 90.00°, β = 90.00° and γ = 90.00°. The asymmetric unit holds La at (0.000, 0.000, 0.000), B at (0.500, 0.500, 0.500), As at (0.000, 0.500, 0.000) and Br at (0.000, 0.000, 0.500).

As for the energy above the most stable polymorph in this dataset: 558.5 kJ/mol of formula units. The value obtained for the uncorrected energy is -3.52 eV/atom. The calculation puts the uncorrected formation energy at 4.975 eV/f.u.

---

(8)
# LaBAs2Br

A geometry-optimized LaBAs2Br structure (GGA-PBE, the Alexandria database).

It has space group P4/mmm (No. 123), with a = 4.441 Å, b = 4.441 Å, c = 5.408 Å, α = 90.00°, β = 90.00° and γ = 90.00°. The asymmetric unit holds La at (0.000, 0.000, 0.000), B at (0.500, 0.500, 0.500), As at (0.000, 0.500, 0.500) and Br at (0.500, 0.500, 0.000).

As for the energy above the most stable polymorph in this dataset: 0.0 kJ/mol of formula units. The value obtained for the uncorrected energy is -4.68 eV/atom. The calculation puts the uncorrected formation energy at -0.814 eV/f.u.

---

(9)
# LiBAs2Br

A geometry-optimized LiBAs2Br structure (GGA-PBE, the Alexandria database).

It has space group P4/mmm (No. 123), with a = 4.106 Å, b = 4.106 Å, c = 8.918 Å, α = 90.00°, β = 90.00° and γ = 90.00°. The asymmetric unit holds Li at (0.000, 0.000, 0.000), B at (0.500, 0.500, 0.500), As at (0.000, 0.500, 0.500) and Br at (0.500, 0.500, 0.000).

As for the energy above the most stable polymorph in this dataset: 0.0 kJ/mol of formula units. The value obtained for the uncorrected energy is -3.68 eV/atom. The calculation puts the uncorrected formation energy at 1.155 eV/f.u.

---

(10)
# LiBAs2Br

A geometry-optimized LiBAs2Br structure (GGA-PBE, the Alexandria database).

It has space group P4/mmm (No. 123), with a = 4.526 Å, b = 4.526 Å, c = 5.165 Å, α = 90.00°, β = 90.00° and γ = 90.00°. The asymmetric unit holds Li at (0.000, 0.000, 0.000), B at (0.500, 0.500, 0.500), As at (0.000, 0.500, 0.000) and Br at (0.000, 0.000, 0.500).

As for the energy above the most stable polymorph in this dataset: 471.7 kJ/mol of formula units. The value obtained for the uncorrected energy is -2.70 eV/atom. The calculation puts the uncorrected formation energy at 6.044 eV/f.u.

---

(11)
# BMoAs2Br

A geometry-optimized BMoAs2Br structure (GGA-PBE, the Alexandria database).

It has space group P4/mmm (No. 123), with a = 4.812 Å, b = 4.812 Å, c = 5.430 Å, α = 90.00°, β = 90.00° and γ = 90.00°. The asymmetric unit holds B at (0.000, 0.000, 0.000), Mo at (0.500, 0.500, 0.500), As at (0.000, 0.500, 0.500) and Br at (0.500, 0.500, 0.000).

As for the energy above the most stable polymorph in this dataset: 44.8 kJ/mol of formula units. The value obtained for the uncorrected energy is -4.47 eV/atom. The calculation puts the uncorrected formation energy at 6.153 eV/f.u.

---

(12)
# BMo2AsBr

A geometry-optimized BMo2AsBr structure (GGA-PBE, the Alexandria database).

It has space group P4/mmm (No. 123), with a = 4.873 Å, b = 4.873 Å, c = 3.869 Å, α = 90.00°, β = 90.00° and γ = 90.00°. The asymmetric unit holds B at (0.000, 0.000, 0.000), Mo at (0.000, 0.500, 0.500), As at (0.000, 0.000, 0.500) and Br at (0.500, 0.500, 0.000).

The value obtained for the uncorrected energy is -5.41 eV/atom. The calculation puts the uncorrected formation energy at 7.611 eV/f.u.

---

(13)
# BMoAsBr2

A geometry-optimized BMoAsBr2 structure (GGA-PBE, the Alexandria database).

It has space group P4/mmm (No. 123), with a = 4.581 Å, b = 4.581 Å, c = 4.681 Å, α = 90.00°, β = 90.00° and γ = 90.00°. The asymmetric unit holds B at (0.000, 0.000, 0.000), Mo at (0.500, 0.500, 0.500), As at (0.000, 0.000, 0.500) and Br at (0.000, 0.500, 0.000).

As for the energy above the most stable polymorph in this dataset: 18.1 kJ/mol of formula units. The value obtained for the uncorrected energy is -3.89 eV/atom. The calculation puts the uncorrected formation energy at 6.029 eV/f.u.

---

(14)
# BMoAs2Br

A geometry-optimized BMoAs2Br structure (GGA-PBE, the Alexandria database).

It has space group P4/mmm (No. 123), with a = 4.337 Å, b = 4.337 Å, c = 4.747 Å, α = 90.00°, β = 90.00° and γ = 90.00°. The asymmetric unit holds B at (0.000, 0.000, 0.000), Mo at (0.500, 0.500, 0.500), As at (0.000, 0.500, 0.000) and Br at (0.000, 0.000, 0.500).

As for the energy above the most stable polymorph in this dataset: 0.0 kJ/mol of formula units. The value obtained for the uncorrected energy is -4.56 eV/atom. The calculation puts the uncorrected formation energy at 5.689 eV/f.u.